Density functional theory data (PBE-GGA) for Li3Si2Au7 after structural relaxation.

Geometry as CIF:
```
data_Li3Si2Au7
_cell_length_a 4.3998
_cell_length_b 4.4591
_cell_length_c 11.6662
_cell_angle_alpha 91.04
_cell_angle_beta 96.72
_cell_angle_gamma 94.74
_space_group_name_H-M_alt 'P -1'
_space_group_IT_number 2
_space_group_name_Hall '-P 1'
loop_
_atom_site_label
_atom_site_fract_x
_atom_site_fract_y
_atom_site_fract_z
Li1 0.0000 0.0000 0.0000
Li2 0.0711 0.0698 0.3450
Si1 0.4113 0.4955 0.7414
Au1 0.0556 0.5088 0.1624
Au2 0.4392 0.2392 0.5624
Au3 0.4480 0.9983 0.8374
Au4 0.5000 0.5000 0.0000
```

For the uncorrected formation energy, the calculation gives -0.267 eV per atom. The calculated density comes out at 10.675 Mg/m³.